# LiSn5Se7 | Alexandria | PBE | relaxed
data_LiSn5Se7
_chemical_formula_sum 'Li4 Sn20 Se28'
_cell_length_a 13.675
_cell_length_b 4.132
_cell_length_c 24.758
_cell_angle_alpha 90.00
_cell_angle_beta 91.23
_cell_angle_gamma 90.00
_symmetry_space_group_name_H-M 'C 1 m 1'
_symmetry_Int_Tables_number 8
loop_
_symmetry_equiv_pos_as_xyz
'x,y,z'
'x,-y,z'
'x+1/2,y+1/2,z'
'x+1/2,-y+1/2,z'
loop_
_atom_site_label
_atom_site_type_symbol
_atom_site_fract_x
_atom_site_fract_y
_atom_site_fract_z
Li1 Li 0.000 0.000 0.000
Li2 Li 0.199 0.500 0.437
Sn1 Sn 0.076 0.500 0.140
Sn2 Sn 0.084 0.500 0.796
Sn3 Sn 0.119 0.000 0.640
Sn4 Sn 0.123 0.000 0.296
Sn5 Sn 0.294 0.000 0.063
Sn6 Sn 0.310 0.000 0.873
Sn7 Sn 0.349 0.500 0.218
Sn8 Sn 0.351 0.500 0.718
Sn9 Sn 0.392 0.000 0.563
Sn10 Sn 0.405 0.000 0.374
Se1 Se 0.021 0.000 0.540
Se2 Se 0.040 0.000 0.399
Se3 Se 0.159 0.500 0.037
Se4 Se 0.181 0.500 0.896
Se5 Se 0.210 0.000 0.183
Se6 Se 0.215 0.000 0.754
Se7 Se 0.249 0.500 0.610
Se8 Se 0.257 0.500 0.328
Se9 Se 0.300 0.000 0.465
Se10 Se 0.399 0.000 0.971
Se11 Se 0.442 0.500 0.109
Se12 Se 0.454 0.500 0.826
Se13 Se 0.487 0.000 0.682
Se14 Se 0.488 0.000 0.254
# Mass density   5.48 g cm⁻³
# E_tot   -4.0384 eV/atom
# Density of states at the Fermi level   6.04 states/eV/f.u.

# Sc2SnI | Alexandria | PBE | relaxed
data_Sc2SnI
_chemical_formula_sum 'Sc6 Sn3 I3'
_cell_length_a 4.5050
_cell_length_b 4.5050
_cell_length_c 24.4335
_cell_angle_alpha 90.00
_cell_angle_beta 90.00
_cell_angle_gamma 120.00
_symmetry_space_group_name_H-M 'R -3 m'
_symmetry_Int_Tables_number 166
_symmetry_space_group_name_Hall '-R 3 2"'
loop_
_atom_site_label
_atom_site_type_symbol
_atom_site_fract_x
_atom_site_fract_y
_atom_site_fract_z
Sc1 Sc 0.0000 0.0000 0.1163
Sn1 Sn 0.0000 0.0000 0.5000
I1 I 0.0000 0.0000 0.0000
# Mass density   3.89 g cm⁻³
# Density of states at the Fermi level   5.75 states/eV/f.u.
# Distance to the lowest polymorph of the same formula   0 meV/atom